Entry 1:
The following is a DFT calculation (PBE-GGA) of a relaxed Sr2BrF crystal.

Structure (CIF):
```
data_Sr2BrF
_symmetry_space_group_name_H-M 'F m -3 m'
_symmetry_Int_Tables_number 225
_symmetry_space_group_name_Hall '-F 4 2 3'
_cell_length_a 7.6965
_cell_length_b 7.6965
_cell_length_c 7.6965
_cell_angle_alpha 90.00
_cell_angle_beta 90.00
_cell_angle_gamma 90.00
loop_
_atom_site_label
_atom_site_fract_x
_atom_site_fract_y
_atom_site_fract_z
Sr1 0.2500 0.2500 0.2500
Br1 0.0000 0.0000 0.0000
F1 0.0000 0.0000 0.5000
```

Summary:
ΔE_f (raw) (meV/atom): -1428
Total magnetic moment (μB/cell): 6.29
Relative energy among the computed polymorphs (eV per atom): 0.542
Crystal system: cubic
E (eV per atom): -3.16

---

Entry 2:
The following is a DFT calculation (PBE-GGA) of a relaxed SrBrF3 crystal.

Structure (CIF):
```
data_SrBrF3
_symmetry_space_group_name_H-M 'P m -3 m'
_symmetry_Int_Tables_number 221
_symmetry_space_group_name_Hall '-P 4 2 3'
_cell_length_a 4.7805
_cell_length_b 4.7805
_cell_length_c 4.7805
_cell_angle_alpha 90.00
_cell_angle_beta 90.00
_cell_angle_gamma 90.00
loop_
_atom_site_label
_atom_site_fract_x
_atom_site_fract_y
_atom_site_fract_z
Sr1 0.0000 0.0000 0.0000
Br1 0.5000 0.5000 0.5000
F1 0.0000 0.0000 0.5000
```

Summary:
ΔE_f (raw) (meV/atom): -2085
Total magnetic moment (μB/cell): 2.00
Relative energy among the computed polymorphs (eV per atom): 0.000
Crystal system: cubic
E (eV per atom): -3.88

---

Entry 3:
The following is a DFT calculation (PBE-GGA) of a relaxed SrBr2F crystal.

Structure (CIF):
```
data_SrBr2F
_symmetry_space_group_name_H-M 'R -3 m'
_symmetry_Int_Tables_number 166
_symmetry_space_group_name_Hall '-R 3 2"'
_cell_length_a 4.7948
_cell_length_b 4.7948
_cell_length_c 22.9991
_cell_angle_alpha 90.00
_cell_angle_beta 90.00
_cell_angle_gamma 120.00
loop_
_atom_site_label
_atom_site_fract_x
_atom_site_fract_y
_atom_site_fract_z
Sr1 0.0000 0.0000 0.0000
Br1 0.0000 0.0000 0.3940
F1 0.0000 0.0000 0.5000
```

Summary:
ΔE_f (raw) (meV/atom): -1557
Total magnetic moment (μB/cell): 3.00
Relative energy among the computed polymorphs (eV per atom): 0.136
Crystal system: trigonal
E (eV per atom): -3.28

---

Entry 4:
The following is a DFT calculation (PBE-GGA) of a relaxed SrBr2F crystal.

Structure (CIF):
```
data_SrBr2F
_symmetry_space_group_name_H-M 'F m -3 m'
_symmetry_Int_Tables_number 225
_symmetry_space_group_name_Hall '-F 4 2 3'
_cell_length_a 7.3808
_cell_length_b 7.3808
_cell_length_c 7.3808
_cell_angle_alpha 90.00
_cell_angle_beta 90.00
_cell_angle_gamma 90.00
loop_
_atom_site_label
_atom_site_fract_x
_atom_site_fract_y
_atom_site_fract_z
Sr1 0.0000 0.0000 0.0000
Br1 0.2500 0.2500 0.2500
F1 0.0000 0.0000 0.5000
```

Summary:
ΔE_f (raw) (meV/atom): -1581
Total magnetic moment (μB/cell): 4.00
Relative energy among the computed polymorphs (eV per atom): 0.113
Crystal system: cubic
E (eV per atom): -3.31

---

Entry 5:
The following is a DFT calculation (PBE-GGA) of a relaxed Sr2BrF4 crystal.

Structure (CIF):
```
data_Sr2BrF4
_symmetry_space_group_name_H-M 'R -3 m'
_symmetry_Int_Tables_number 166
_symmetry_space_group_name_Hall '-R 3 2"'
_cell_length_a 3.9923
_cell_length_b 3.9923
_cell_length_c 33.4230
_cell_angle_alpha 90.00
_cell_angle_beta 90.00
_cell_angle_gamma 120.00
loop_
_atom_site_label
_atom_site_fract_x
_atom_site_fract_y
_atom_site_fract_z
Sr1 0.0000 0.0000 0.2188
Br1 0.0000 0.0000 0.0000
F1 0.0000 0.0000 0.1424
F2 0.0000 0.0000 0.4209
```

Summary:
ΔE_f (raw) (meV/atom): -3158
Total magnetic moment (μB/cell): 3.01
Crystal system: trigonal
E (eV per atom): -4.95

---

Entry 6:
The following is a DFT calculation (PBE-GGA) of a relaxed Sr3BrF crystal.

Structure (CIF):
```
data_Sr3BrF
_symmetry_space_group_name_H-M 'P m -3 m'
_symmetry_Int_Tables_number 221
_symmetry_space_group_name_Hall '-P 4 2 3'
_cell_length_a 5.7247
_cell_length_b 5.7247
_cell_length_c 5.7247
_cell_angle_alpha 90.00
_cell_angle_beta 90.00
_cell_angle_gamma 90.00
loop_
_atom_site_label
_atom_site_fract_x
_atom_site_fract_y
_atom_site_fract_z
Sr1 0.0000 0.0000 0.5000
Br1 0.5000 0.5000 0.5000
F1 0.0000 0.0000 0.0000
```

Summary:
ΔE_f (raw) (meV/atom): -1143
Total magnetic moment (μB/cell): 0.00
Relative energy among the computed polymorphs (eV per atom): 0.000
Crystal system: cubic
E (eV per atom): -2.86

---

Entry 7:
The following is a DFT calculation (PBE-GGA) of a relaxed SrBr2F6 crystal.

Structure (CIF):
```
data_SrBr2F6
_symmetry_space_group_name_H-M 'C 1 2/c 1'
_symmetry_Int_Tables_number 15
_cell_length_a 11.8496
_cell_length_b 9.6011
_cell_length_c 7.0529
_cell_angle_alpha 90.00
_cell_angle_beta 122.81
_cell_angle_gamma 90.00
loop_
_symmetry_equiv_pos_as_xyz
'x,y,z'
'-x,-y,-z'
'-x,y,-z+1/2'
'x,-y,z+1/2'
'x+1/2,y+1/2,z'
'-x+1/2,-y+1/2,-z'
'-x+1/2,y+1/2,-z+1/2'
'x+1/2,-y+1/2,z+1/2'
loop_
_atom_site_label
_atom_site_fract_x
_atom_site_fract_y
_atom_site_fract_z
Sr1 0.0000 0.1163 0.2500
Br1 0.1291 0.4811 0.6564
F1 0.1093 0.2859 0.5966
F2 0.1371 0.0259 0.0981
F3 0.1407 0.3251 0.2234
```

Summary:
ΔE_f (raw) (meV/atom): -1784
Total magnetic moment (μB/cell): 0.00
Crystal system: monoclinic
E (eV per atom): -3.59

---

Entry 8:
The following is a DFT calculation (PBE-GGA) of a relaxed Sr5Br3F12 crystal.

Structure (CIF):
```
data_Sr5Br3F12
_symmetry_space_group_name_H-M 'I a -3 d'
_symmetry_Int_Tables_number 230
_symmetry_space_group_name_Hall '-I 4bd 2c 3'
_cell_length_a 15.2019
_cell_length_b 15.2019
_cell_length_c 15.2019
_cell_angle_alpha 90.00
_cell_angle_beta 90.00
_cell_angle_gamma 90.00
loop_
_atom_site_label
_atom_site_fract_x
_atom_site_fract_y
_atom_site_fract_z
Sr1 0.0000 0.0000 0.0000
Sr2 0.0000 0.2500 0.3750
Br1 0.0000 0.2500 0.1250
F1 0.0484 0.0683 0.6355
```

Summary:
ΔE_f (raw) (meV/atom): -2636
Total magnetic moment (μB/cell): 40.00
Crystal system: cubic
E (eV per atom): -4.43

---

Entry 9:
The following is a DFT calculation (PBE-GGA) of a relaxed SrBr2F crystal.

Structure (CIF):
```
data_SrBr2F
_symmetry_space_group_name_H-M 'I -4 2 d'
_symmetry_Int_Tables_number 122
_symmetry_space_group_name_Hall 'I -4 2bw'
_cell_length_a 4.2624
_cell_length_b 4.2624
_cell_length_c 22.5625
_cell_angle_alpha 90.00
_cell_angle_beta 90.00
_cell_angle_gamma 90.00
loop_
_atom_site_label
_atom_site_fract_x
_atom_site_fract_y
_atom_site_fract_z
Sr1 0.0000 0.0000 0.0000
Br1 0.2502 0.2500 0.1250
F1 0.0000 0.0000 0.5000
```

Summary:
ΔE_f (raw) (meV/atom): -1693
Total magnetic moment (μB/cell): 0.00
Relative energy among the computed polymorphs (eV per atom): 0.000
Crystal system: tetragonal
E (eV per atom): -3.42

---

Entry 10:
The following is a DFT calculation (PBE-GGA) of a relaxed Sr2BrF crystal.

Structure (CIF):
```
data_Sr2BrF
_symmetry_space_group_name_H-M 'I -4 2 d'
_symmetry_Int_Tables_number 122
_symmetry_space_group_name_Hall 'I -4 2bw'
_cell_length_a 6.6780
_cell_length_b 6.6780
_cell_length_c 12.5700
_cell_angle_alpha 90.00
_cell_angle_beta 90.00
_cell_angle_gamma 90.00
loop_
_atom_site_label
_atom_site_fract_x
_atom_site_fract_y
_atom_site_fract_z
Sr1 0.1834 0.2500 0.1250
Br1 0.0000 0.0000 0.5000
F1 0.0000 0.0000 0.0000
```

Summary:
ΔE_f (raw) (meV/atom): -1970
Total magnetic moment (μB/cell): 5.20
Relative energy among the computed polymorphs (eV per atom): 0.000
Crystal system: tetragonal
E (eV per atom): -3.70

---

Entry 11:
The following is a DFT calculation (PBE-GGA) of a relaxed SrBrF3 crystal.

Structure (CIF):
```
data_SrBrF3
_symmetry_space_group_name_H-M 'P m -3 m'
_symmetry_Int_Tables_number 221
_symmetry_space_group_name_Hall '-P 4 2 3'
_cell_length_a 4.7154
_cell_length_b 4.7154
_cell_length_c 4.7154
_cell_angle_alpha 90.00
_cell_angle_beta 90.00
_cell_angle_gamma 90.00
loop_
_atom_site_label
_atom_site_fract_x
_atom_site_fract_y
_atom_site_fract_z
Sr1 0.0000 0.0000 0.0000
Br1 0.5000 0.5000 0.5000
F1 0.0000 0.5000 0.5000
```

Summary:
ΔE_f (raw) (meV/atom): -1598
Total magnetic moment (μB/cell): 0.00
Relative energy among the computed polymorphs (eV per atom): 0.487
Crystal system: cubic
E (eV per atom): -3.39

---

Entry 12:
The following is a DFT calculation (PBE-GGA) of a relaxed Sr2Br2F crystal.

Structure (CIF):
```
data_Sr2Br2F
_symmetry_space_group_name_H-M 'P 4/m m m'
_symmetry_Int_Tables_number 123
_symmetry_space_group_name_Hall '-P 4 2'
_cell_length_a 5.6425
_cell_length_b 5.6425
_cell_length_c 14.2828
_cell_angle_alpha 90.00
_cell_angle_beta 90.00
_cell_angle_gamma 90.00
loop_
_atom_site_label
_atom_site_fract_x
_atom_site_fract_y
_atom_site_fract_z
Sr1 0.0000 0.0000 0.1616
Br1 0.0000 0.0000 0.3518
F1 0.0000 0.0000 0.0000
```

Summary:
ΔE_f (raw) (meV/atom): -1561
Total magnetic moment (μB/cell): 0.00
Relative energy among the computed polymorphs (eV per atom): 0.607
Crystal system: tetragonal
E (eV per atom): -3.28

---

Entry 13:
The following is a DFT calculation (PBE-GGA) of a relaxed Sr3Br5F crystal.

Structure (CIF):
```
data_Sr3Br5F
_symmetry_space_group_name_H-M 'A m m 2'
_symmetry_Int_Tables_number 38
_cell_length_a 13.5890
_cell_length_b 10.1992
_cell_length_c 9.2912
_cell_angle_alpha 90.00
_cell_angle_beta 90.00
_cell_angle_gamma 90.00
loop_
_symmetry_equiv_pos_as_xyz
'x,y,z'
'-x,-y,z'
'-x,y,z'
'x,-y,z'
'x,y+1/2,z+1/2'
'-x,-y+1/2,z+1/2'
'-x,y+1/2,z+1/2'
'x,-y+1/2,z+1/2'
loop_
_atom_site_label
_atom_site_fract_x
_atom_site_fract_y
_atom_site_fract_z
Sr1 0.0000 0.0000 0.0000
Sr2 0.1654 0.0000 0.4094
Sr3 0.3103 0.0000 0.9814
Sr4 0.5000 0.0000 0.4767
Br1 0.0000 0.2012 0.3999
Br2 0.1541 0.0000 0.7500
Br3 0.3285 0.1992 0.4456
Br4 0.5000 0.0000 0.1607
Br5 0.5000 0.0000 0.7894
F1 0.1597 0.0000 0.1385
```

Summary:
ΔE_f (raw) (meV/atom): -2373
Total magnetic moment (μB/cell): 0.00
Crystal system: orthorhombic
E (eV per atom): -4.07

---

Entry 14:
The following is a DFT calculation (PBE-GGA) of a relaxed SrBrF crystal.

Structure (CIF):
```
data_SrBrF
_symmetry_space_group_name_H-M 'I 4/m m m'
_symmetry_Int_Tables_number 139
_symmetry_space_group_name_Hall '-I 4 2'
_cell_length_a 4.7517
_cell_length_b 4.7517
_cell_length_c 13.2789
_cell_angle_alpha 90.00
_cell_angle_beta 90.00
_cell_angle_gamma 90.00
loop_
_atom_site_label
_atom_site_fract_x
_atom_site_fract_y
_atom_site_fract_z
Sr1 0.0000 0.0000 0.1569
Br1 0.0000 0.5000 0.0000
F1 0.0000 0.5000 0.2500
```

Summary:
ΔE_f (raw) (meV/atom): -2827
Total magnetic moment (μB/cell): 0.00
Relative energy among the computed polymorphs (eV per atom): 0.239
Crystal system: tetragonal
E (eV per atom): -4.57

---

Entry 15:
The following is a DFT calculation (PBE-GGA) of a relaxed SrBrF2 crystal.

Structure (CIF):
```
data_SrBrF2
_symmetry_space_group_name_H-M 'R -3 m'
_symmetry_Int_Tables_number 166
_symmetry_space_group_name_Hall '-R 3 2"'
_cell_length_a 3.8266
_cell_length_b 3.8266
_cell_length_c 27.8850
_cell_angle_alpha 90.00
_cell_angle_beta 90.00
_cell_angle_gamma 120.00
loop_
_atom_site_label
_atom_site_fract_x
_atom_site_fract_y
_atom_site_fract_z
Sr1 0.0000 0.0000 0.0000
Br1 0.0000 0.0000 0.5000
F1 0.0000 0.0000 0.3696
```

Summary:
ΔE_f (raw) (meV/atom): -2583
Total magnetic moment (μB/cell): 3.00
Relative energy among the computed polymorphs (eV per atom): 0.000
Crystal system: trigonal
E (eV per atom): -4.36

---

Entry 16:
The following is a DFT calculation (PBE-GGA) of a relaxed SrBrF crystal.

Structure (CIF):
```
data_SrBrF
_symmetry_space_group_name_H-M 'P -6 m 2'
_symmetry_Int_Tables_number 187
_symmetry_space_group_name_Hall 'P -6 2'
_cell_length_a 4.2055
_cell_length_b 4.2055
_cell_length_c 4.6565
_cell_angle_alpha 90.00
_cell_angle_beta 90.00
_cell_angle_gamma 120.00
loop_
_atom_site_label
_atom_site_fract_x
_atom_site_fract_y
_atom_site_fract_z
Sr1 0.0000 0.0000 0.0000
Br1 0.3333 0.6667 0.5000
F1 0.6667 0.3333 0.0000
```

Summary:
ΔE_f (raw) (meV/atom): -3007
Total magnetic moment (μB/cell): 0.00
Relative energy among the computed polymorphs (eV per atom): 0.059
Crystal system: hexagonal
E (eV per atom): -4.75

---

Entry 17:
The following is a DFT calculation (PBE-GGA) of a relaxed SrBrF2 crystal.

Structure (CIF):
```
data_SrBrF2
_symmetry_space_group_name_H-M 'I -4 2 d'
_symmetry_Int_Tables_number 122
_symmetry_space_group_name_Hall 'I -4 2bw'
_cell_length_a 6.3405
_cell_length_b 6.3405
_cell_length_c 12.2746
_cell_angle_alpha 90.00
_cell_angle_beta 90.00
_cell_angle_gamma 90.00
loop_
_atom_site_label
_atom_site_fract_x
_atom_site_fract_y
_atom_site_fract_z
Sr1 0.0000 0.0000 0.0000
Br1 0.0000 0.0000 0.5000
F1 0.1057 0.2500 0.1250
```

Summary:
ΔE_f (raw) (meV/atom): -2413
Total magnetic moment (μB/cell): 4.00
Relative energy among the computed polymorphs (eV per atom): 0.170
Crystal system: tetragonal
E (eV per atom): -4.19

---

Entry 18:
The following is a DFT calculation (PBE-GGA) of a relaxed SrTl2Br2F2 crystal.

Structure (CIF):
```
data_SrTl2Br2F2
_symmetry_space_group_name_H-M 'I 4/m m m'
_symmetry_Int_Tables_number 139
_symmetry_space_group_name_Hall '-I 4 2'
_cell_length_a 4.7694
_cell_length_b 4.7694
_cell_length_c 17.8758
_cell_angle_alpha 90.00
_cell_angle_beta 90.00
_cell_angle_gamma 90.00
loop_
_atom_site_label
_atom_site_fract_x
_atom_site_fract_y
_atom_site_fract_z
Sr1 0.0000 0.0000 0.0000
Tl1 0.0000 0.0000 0.3607
Br1 0.0000 0.0000 0.1751
F1 0.0000 0.5000 0.0000
```

Summary:
ΔE_f (raw) (meV/atom): -2070
Total magnetic moment (μB/cell): 0.00
Crystal system: tetragonal
E (eV per atom): -4.00

---

Entry 19:
The following is a DFT calculation (PBE-GGA) of a relaxed SrTlBr2F crystal.

Structure (CIF):
```
data_SrTlBr2F
_symmetry_space_group_name_H-M 'P 1 21/m 1'
_symmetry_Int_Tables_number 11
_cell_length_a 8.1297
_cell_length_b 4.4174
_cell_length_c 9.8442
_cell_angle_alpha 90.00
_cell_angle_beta 106.03
_cell_angle_gamma 90.00
loop_
_symmetry_equiv_pos_as_xyz
'x,y,z'
'-x,-y,-z'
'-x,y+1/2,-z'
'x,-y+1/2,z'
loop_
_atom_site_label
_atom_site_fract_x
_atom_site_fract_y
_atom_site_fract_z
Sr1 0.2050 0.2500 0.1843
Tl1 0.3092 0.2500 0.6844
Br1 0.1484 0.7500 0.3821
Br2 0.1991 0.7500 0.9606
F1 0.4960 0.2500 0.2695
```

Summary:
ΔE_f (raw) (meV/atom): -2042
Total magnetic moment (μB/cell): 0.00
Relative energy among the computed polymorphs (eV per atom): 0.011
Crystal system: monoclinic
E (eV per atom): -3.89

---

Entry 20:
The following is a DFT calculation (PBE-GGA) of a relaxed SrTlBr2F crystal.

Structure (CIF):
```
data_SrTlBr2F
_symmetry_space_group_name_H-M 'P 4/m m m'
_symmetry_Int_Tables_number 123
_symmetry_space_group_name_Hall '-P 4 2'
_cell_length_a 6.0981
_cell_length_b 6.0981
_cell_length_c 4.6147
_cell_angle_alpha 90.00
_cell_angle_beta 90.00
_cell_angle_gamma 90.00
loop_
_atom_site_label
_atom_site_fract_x
_atom_site_fract_y
_atom_site_fract_z
Sr1 0.0000 0.0000 0.0000
Tl1 0.5000 0.5000 0.5000
Br1 0.0000 0.5000 0.0000
F1 0.0000 0.0000 0.5000
```

Summary:
ΔE_f (raw) (meV/atom): -2053
Total magnetic moment (μB/cell): 0.00
Relative energy among the computed polymorphs (eV per atom): 0.000
Crystal system: tetragonal
E (eV per atom): -3.91